4
Lattice="2.850 0.000 0.000 0.000 4.954 0.000 0.000 0.000 6.018" Properties=species:S:1:pos:R:3 comment="PBE-GGA K2MnRe, relaxed" energy_ev_per_cell=-18.1 polymorph_energy_ev_per_fu=2.42 vol_a3_per_cell=85.0 pbc="T T T"
K 0.000 0.000 0.000
K 1.425 2.477 0.000
Mn 0.000 2.477 3.009
Re 1.425 0.000 3.009

---

5
Lattice="4.410 0.000 0.000 0.000 4.410 0.000 0.000 0.000 4.410" Properties=species:S:1:pos:R:3 comment="PBE-GGA KMnRe3, relaxed" energy_ev_per_cell=-27.4 polymorph_energy_ev_per_fu=11.02 vol_a3_per_cell=85.8 pbc="T T T"
K 0.000 0.000 0.000
Mn 2.205 2.205 2.205
Re 0.000 0.000 2.205
Re 0.000 2.205 0.000
Re 2.205 0.000 0.000

---

4
Lattice="0.000 3.680 3.680 3.680 0.000 3.680 3.680 3.680 0.000" Properties=species:S:1:pos:R:3 comment="PBE-GGA K2MnRe, relaxed" energy_ev_per_cell=-17.1 polymorph_energy_ev_per_fu=3.34 vol_a3_per_cell=99.6 pbc="T T T"
K 0.000 0.000 0.000
K 1.840 1.840 1.840
Mn 3.680 3.680 3.680
Re 5.519 5.519 5.519

---

5
Lattice="4.116 0.000 0.000 0.000 4.116 0.000 0.000 0.000 4.116" Properties=species:S:1:pos:R:3 comment="PBE-GGA KMn3Re, relaxed" energy_ev_per_cell=-26.2 polymorph_energy_ev_per_fu=9.34 vol_a3_per_cell=69.7 pbc="T T T"
K 0.000 0.000 0.000
Mn 0.000 0.000 2.058
Mn 0.000 2.058 0.000
Mn 2.058 0.000 0.000
Re 2.058 2.058 2.058